Below is KAg2Br after structural relaxation, with properties calculated at the PBE level.

Calculated values
Formation energy without anion corrections, eV/atom: -0.11
ρ, g cm⁻³: 4.47
Space-group type: I-42d
E above lowest polymorph, meV per atom: 306

Cell: 9.2064 9.2064 7.1415 Å, 49.87 49.87 90.00°
Positions (direct):
K  0.5000  0.5000  0.0000
K  0.2500  0.7500  0.5000
Br  0.0000  0.0000  0.0000
Br  0.7500  0.2500  0.5000
Ag  0.6727  0.1250  0.2500
Ag  0.0773  0.6250  0.2500
Ag  0.3750  0.3273  0.7500
Ag  0.8750  0.9227  0.7500

=====

Below is K3Ag2Br6 after structural relaxation, with properties calculated at the PBE level.

Calculated values
Formation energy without anion corrections, eV/atom: -1.08
ρ, g cm⁻³: 3.55
Space-group type: I4/mmm

Cell: 5.2579 5.2579 14.2431 Å, 100.64 100.64 90.00°
Positions (direct):
K  0.0000  0.0000  0.0000
K  0.8183  0.8183  0.6366
K  0.1817  0.1817  0.3634
Ag  0.4006  0.4006  0.8012
Ag  0.5994  0.5994  0.1988
Br  0.0796  0.5796  0.1592
Br  0.5796  0.0796  0.1592
Br  0.9204  0.4204  0.8408
Br  0.4204  0.9204  0.8408
Br  0.6998  0.6998  0.3995
Br  0.3002  0.3002  0.6005

=====

Below is K2AgBr3 after structural relaxation, with properties calculated at the PBE level.

Calculated values
Formation energy without anion corrections, eV/atom: -1.24
ρ, g cm⁻³: 3.41
Space-group type: Immm
E above lowest polymorph, meV per atom: 42

Cell: 4.3826 5.4271 9.3991 Å, 106.78 103.48 90.00°
Positions (direct):
K  0.6492  0.6492  0.2984
K  0.3508  0.3508  0.7016
Ag  0.0000  0.0000  0.0000
Br  0.0000  0.5000  0.0000
Br  0.8394  0.8394  0.6787
Br  0.1606  0.1606  0.3213

=====

Below is K3Ag4Br9 after structural relaxation, with properties calculated at the PBE level.

Calculated values
Formation energy without anion corrections, eV/atom: -0.80
ρ, g cm⁻³: 4.16
Space-group type: R3

Cell: 7.5231 7.5231 11.2098 Å, 70.39 70.39 60.00°
Positions (direct):
K  0.0014  0.0014  0.9959
K  0.8321  0.8321  0.5038
K  0.4301  0.4301  0.7096
Ag  0.5821  0.5821  0.2537
Ag  0.1362  0.1362  0.5915
Ag  0.2515  0.2515  0.2455
Ag  0.6959  0.6959  0.9124
Br  0.9754  0.4152  0.0744
Br  0.5350  0.9754  0.0744
Br  0.4152  0.5350  0.0744
Br  0.8551  0.2978  0.4302
Br  0.4169  0.8551  0.4302
Br  0.2978  0.4169  0.4302
Br  0.8566  0.4175  0.7508
Br  0.4175  0.9751  0.7508
Br  0.9751  0.8566  0.7508

=====

Below is KAg2Br6 after structural relaxation, with properties calculated at the PBE level.

Calculated values
Formation energy without anion corrections, eV/atom: -0.51
ρ, g cm⁻³: 2.82
Space-group type: C2/m
E above lowest polymorph, meV per atom: 0

Cell: 5.4892 9.3514 12.6878 Å, 133.41 90.00 107.07°
Positions (direct):
K  0.0000  0.0000  0.5000
Ag  0.7314  0.4628  0.8668
Ag  0.2686  0.5372  0.1332
Br  0.2202  0.4404  0.8833
Br  0.7798  0.5596  0.1167
Br  0.0946  0.1892  0.1160
Br  0.6526  0.3051  0.5985
Br  0.9054  0.8108  0.8840
Br  0.3474  0.6949  0.4015

=====

Below is KAg4Br8 after structural relaxation, with properties calculated at the PBE level.

Calculated values
Formation energy without anion corrections, eV/atom: -0.42
ρ, g cm⁻³: 4.08
Space-group type: R-3m

Cell: 8.0878 8.0878 9.2318 Å, 64.02 64.02 60.00°
Site moments in Bohr magnetons follow the coordinates.
Positions (direct):
K  0.5000  0.5000  0.5000  0.00
Ag  0.0000  0.5000  0.0000  0.21
Ag  0.5000  0.5000  0.0000  0.21
Ag  0.5000  0.0000  0.0000  0.21
Ag  0.0000  0.0000  0.0000  0.12
Br  0.7311  0.2327  0.8036  0.16
Br  0.7673  0.2689  0.1964  0.16
Br  0.2689  0.7673  0.1964  0.16
Br  0.7673  0.7673  0.1964  0.16
Br  0.7292  0.7292  0.8124  0.23
Br  0.2708  0.2708  0.1876  0.23
Br  0.2327  0.2327  0.8036  0.16
Br  0.2327  0.7311  0.8036  0.16

=====

Below is KAgBr3 after structural relaxation, with properties calculated at the PBE level.

Calculated values
Formation energy without anion corrections, eV/atom: -0.79
ρ, g cm⁻³: 4.01
Space-group type: P2_1/m

Cell: 5.3815 8.0776 7.8388 Å, 90.00 109.99 90.00°
Positions (direct):
K  0.8111  0.2500  0.1205
K  0.1889  0.7500  0.8795
Br  0.3692  0.4765  0.2371
Br  0.6308  0.5235  0.7629
Br  0.3692  0.0235  0.2371
Br  0.6308  0.9765  0.7629
Br  0.0351  0.2500  0.5709
Br  0.9649  0.7500  0.4291
Ag  0.5222  0.2500  0.5451
Ag  0.4778  0.7500  0.4549

=====

Below is KAgBr3 after structural relaxation, with properties calculated at the PBE level.

Calculated values
Formation energy without anion corrections, eV/atom: -0.77
ρ, g cm⁻³: 3.78
Space-group type: R-3

Cell: 8.3882 8.3882 8.3882 Å, 52.08 52.08 52.08°
Positions (direct):
K  0.1314  0.1314  0.1314
K  0.8686  0.8686  0.8686
Br  0.4950  0.0699  0.6668
Br  0.0699  0.6668  0.4950
Br  0.3332  0.5050  0.9301
Br  0.9301  0.3332  0.5050
Br  0.5050  0.9301  0.3332
Br  0.6668  0.4950  0.0699
Ag  0.3365  0.3365  0.3365
Ag  0.6635  0.6635  0.6635

=====

Below is KAgBr3 after structural relaxation, with properties calculated at the PBE level.

Calculated values
Formation energy without anion corrections, eV/atom: -0.82
ρ, g cm⁻³: 3.44
Space-group type: P2_1/c

Cell: 25.9306 7.1274 8.8345 Å, 90.00 152.76 90.00°
Positions (direct):
K  0.1716  0.2427  0.8042
K  0.8284  0.7573  0.1958
K  0.3284  0.7427  0.6958
K  0.6716  0.2573  0.3042
Br  0.3341  0.9742  0.0378
Br  0.6659  0.0258  0.9622
Br  0.1659  0.4742  0.4622
Br  0.8341  0.5258  0.5378
Br  0.4387  0.4348  0.5288
Br  0.5613  0.5652  0.4712
Br  0.0613  0.9348  0.9712
Br  0.9387  0.0652  0.0288
Br  0.5041  0.8931  0.8789
Br  0.4959  0.1069  0.1211
Br  0.9959  0.3931  0.6211
Br  0.0041  0.6069  0.3789
Ag  0.5266  0.7490  0.6603
Ag  0.4734  0.2510  0.3397
Ag  0.9734  0.2490  0.8397
Ag  0.0266  0.7510  0.1603

=====

Below is K3Ag2Br4 after structural relaxation, with properties calculated at the PBE level.

Calculated values
Formation energy without anion corrections, eV/atom: -1.06
ρ, g cm⁻³: 3.41
Space-group type: C2/c

Cell: 8.9795 9.2195 9.2195 Å, 57.34 96.98 96.98°
Positions (direct):
K  0.8544  0.0675  0.2138
K  0.6456  0.7862  0.9325
K  0.1456  0.9325  0.7862
K  0.3544  0.2138  0.0675
K  0.2500  0.5097  0.4903
K  0.7500  0.4903  0.5097
Ag  0.4708  0.1473  0.4892
Ag  0.0292  0.5108  0.8527
Ag  0.5292  0.8527  0.5108
Ag  0.9708  0.4892  0.1473
Br  0.5097  0.7980  0.2444
Br  0.9903  0.7556  0.2020
Br  0.4903  0.2020  0.7556
Br  0.0097  0.2444  0.7980
Br  0.1713  0.2270  0.3535
Br  0.3287  0.6465  0.7730
Br  0.8287  0.7730  0.6465
Br  0.6713  0.3535  0.2270

=====

Below is K12Ag3Br5 after structural relaxation, with properties calculated at the PBE level.

Calculated values
Formation energy without anion corrections, eV/atom: -0.75
ρ, g cm⁻³: 1.99
Space-group type: Ia-3d

Cell: 17.2960 17.2960 17.2960 Å, 109.47 109.47 109.47°
Positions (direct):
Ag  0.7500  0.3750  0.1250
Ag  0.8750  0.7500  0.1250
Ag  0.3750  0.7500  0.6250
Ag  0.2500  0.1250  0.3750
Ag  0.8750  0.1250  0.2500
Ag  0.3750  0.6250  0.2500
Ag  0.6250  0.3750  0.7500
Ag  0.1250  0.8750  0.7500
Ag  0.7500  0.8750  0.6250
Ag  0.6250  0.2500  0.3750
Ag  0.1250  0.2500  0.8750
Ag  0.2500  0.6250  0.8750
Br  0.1250  0.3750  0.2500
Br  0.0000  0.5000  0.0000
Br  0.0000  0.0000  0.0000
Br  0.3750  0.2500  0.1250
Br  0.5000  0.0000  0.5000
Br  0.5000  0.5000  0.0000
Br  0.1250  0.7500  0.3750
Br  0.7500  0.1250  0.8750
Br  0.7500  0.6250  0.3750
Br  0.3750  0.1250  0.7500
Br  0.6250  0.8750  0.2500
Br  0.5000  0.5000  0.5000
Br  0.5000  0.0000  0.0000
Br  0.0000  0.0000  0.5000
Br  0.2500  0.3750  0.6250
Br  0.2500  0.8750  0.1250
Br  0.0000  0.5000  0.5000
Br  0.8750  0.2500  0.6250
Br  0.6250  0.7500  0.8750
Br  0.8750  0.6250  0.7500
K  0.7185  0.1336  0.0472
K  0.3287  0.5472  0.4136
K  0.9528  0.3664  0.2815
K  0.5472  0.2185  0.1336
K  0.5850  0.7185  0.6713
K  0.9528  0.5864  0.1713
K  0.3287  0.7815  0.4150
K  0.0864  0.9150  0.1336
K  0.5864  0.9528  0.6713
K  0.7185  0.5850  0.1713
K  0.7815  0.4528  0.3664
K  0.8287  0.9136  0.0472
K  0.1336  0.7185  0.5472
K  0.3664  0.4136  0.0850
K  0.0850  0.9136  0.3664
K  0.4150  0.1336  0.5864
K  0.0850  0.1713  0.2185
K  0.4528  0.6713  0.0864
K  0.8287  0.9150  0.2815
K  0.1336  0.4150  0.0864
K  0.3664  0.9528  0.7815
K  0.5864  0.6336  0.4150
K  0.9136  0.8287  0.5472
K  0.7815  0.3287  0.9150
K  0.4136  0.3664  0.5850
K  0.0864  0.1713  0.4528
K  0.2185  0.6713  0.0850
K  0.1713  0.0850  0.7185
K  0.6336  0.0472  0.2185
K  0.8664  0.5850  0.9136
K  0.5472  0.3287  0.9136
K  0.5850  0.8664  0.4136
K  0.9150  0.8287  0.7815
K  0.9150  0.0864  0.6336
K  0.8664  0.2815  0.4528
K  0.1713  0.0864  0.9528
K  0.6336  0.5864  0.9150
K  0.4136  0.0472  0.3287
K  0.2815  0.4150  0.8287
K  0.2185  0.5472  0.6336
K  0.9136  0.0850  0.8664
K  0.6713  0.2185  0.5850
K  0.4528  0.7815  0.8664
K  0.0472  0.4136  0.8287
K  0.4150  0.2815  0.3287
K  0.0472  0.6336  0.7185
K  0.6713  0.4528  0.5864
K  0.2815  0.8664  0.9528

=====

Below is K2Ag3Br8 after structural relaxation, with properties calculated at the PBE level.

Calculated values
Formation energy without anion corrections, eV/atom: -0.66
ρ, g cm⁻³: 3.92
Space-group type: P4/mmm
E above lowest polymorph, meV per atom: 25

Cell: 5.3273 5.3273 15.5257 Å, 90.00 90.00 90.00°
Positions (direct):
K  0.0000  0.0000  0.2004
K  0.0000  0.0000  0.7996
Ag  0.5000  0.5000  0.3527
Ag  0.5000  0.5000  0.0000
Ag  0.5000  0.5000  0.6473
Br  0.5000  0.0000  0.3509
Br  0.0000  0.5000  0.3509
Br  0.0000  0.5000  0.0000
Br  0.5000  0.5000  0.1677
Br  0.5000  0.0000  0.6491
Br  0.0000  0.5000  0.6491
Br  0.5000  0.5000  0.8323
Br  0.5000  0.0000  0.0000

=====

Repeat the third record exactly.
Below is K2AgBr3 after structural relaxation, with properties calculated at the PBE level.

Calculated values
Formation energy without anion corrections, eV/atom: -1.24
ρ, g cm⁻³: 3.41
Space-group type: Immm
E above lowest polymorph, meV per atom: 42

Cell: 4.3826 5.4271 9.3991 Å, 106.78 103.48 90.00°
Positions (direct):
K  0.6492  0.6492  0.2984
K  0.3508  0.3508  0.7016
Ag  0.0000  0.0000  0.0000
Br  0.0000  0.5000  0.0000
Br  0.8394  0.8394  0.6787
Br  0.1606  0.1606  0.3213

=====

Q: Which of these has the highest ρ?
A: KAg2Br